# 1
Pm8Sm5Tm | PBE | relaxed

a b c (Å): 9.759 9.759 10.216
angles (deg): 90.00 90.00 90.00
Space group I-4 (No. 82)
Unique sites:
Pm 0.069 0.173 0.344
Pm 0.085 0.319 0.004
Sm 0.000 0.500 0.250
Sm 0.107 0.291 0.674
Tm 0.000 0.000 0.000

Values from the calculation:
As for the density of states at the Fermi level: 1.46 states/eV per atom. As for the formation energy: 0.2468 eV/atom. The final energy comes out at -4.47 eV/atom.

# 2
Pm7SmTm3 | PBE | relaxed

a b c (Å): 19.082 7.205 12.470
angles (deg): 90.00 115.78 90.00
Space group C2/c (No. 15)
Unique sites:
Pm 0.000 0.236 0.250
Pm 0.161 0.493 0.775
Pm 0.168 0.248 0.530
Pm 0.168 0.249 0.029
Sm 0.000 0.000 0.000
Tm 0.000 0.500 0.000
Tm 0.169 0.003 0.277

Values from the calculation:
As for the density of states at the Fermi level: 1.55 states/eV per atom. The calculation puts the energy above the most stable polymorph in this dataset at 0.0 kJ/mol of atoms. As for the formation energy: 0.1781 eV/atom. The final energy comes out at -4.49 eV/atom.

# 3
Pm3SmTm7 | PBE | relaxed

a b c (Å): 7.0097 7.0097 8.6268
angles (deg): 90.00 90.00 120.00
Space group P3m1 (No. 156)
Unique sites:
Pm 0.1670 0.3340 0.0000
Sm 0.0000 0.0000 0.6615
Tm 0.0016 0.5008 0.6599
Tm 0.3324 0.1662 0.3365
Tm 0.3333 0.6667 0.3372

Values from the calculation:
As for the density of states at the Fermi level: 1.49 states/eV per atom. The calculation puts the energy above the most stable polymorph in this dataset at 2.5 kJ/mol of atoms. As for the formation energy: 0.1835 eV/atom. The final energy comes out at -4.39 eV/atom.

# 4
Pm4Sm4Tm | PBE | relaxed

a b c (Å): 10.868 10.868 5.120
angles (deg): 90.00 90.00 90.00
Space group I4/mmm (No. 139)
Unique sites:
Pm 0.000 0.332 0.000
Sm 0.166 0.166 0.500
Tm 0.000 0.000 0.000

Values from the calculation:
As for the density of states at the Fermi level: 1.51 states/eV per atom. As for the formation energy: 0.0162 eV/atom. The final energy comes out at -4.69 eV/atom.

# 5
Pm2Sm3Tm2 | PBE | relaxed

a b c (Å): 3.599 6.209 10.787
angles (deg): 84.44 89.98 73.17
Space group P-1 (No. 2)
Unique sites:
Pm 0.216 0.069 0.356
Sm 0.358 0.785 0.930
Sm 0.500 0.500 0.500
Tm 0.071 0.359 0.787

Values from the calculation:
As for the density of states at the Fermi level: 1.26 states/eV per atom. The calculation puts the energy above the most stable polymorph in this dataset at 0.0 kJ/mol of atoms. As for the formation energy: 0.0166 eV/atom. The final energy comes out at -4.64 eV/atom.

# 6
Pm3Sm3Tm | PBE | relaxed

a b c (Å): 9.6975 9.6975 5.8062
angles (deg): 90.00 90.00 120.00
Space group P6_3/m (No. 176)
Unique sites:
Pm 0.0474 0.2404 0.2500
Sm 0.0952 0.4766 0.7500
Tm 0.3333 0.6667 0.2500

Values from the calculation:
As for the density of states at the Fermi level: 1.71 states/eV per atom. The calculation puts the energy above the most stable polymorph in this dataset at 0.0 kJ/mol of atoms. As for the formation energy: 0.0229 eV/atom. The final energy comes out at -4.67 eV/atom.

- What is the final energy in the sixth record?
  -4.67 eV/atom

- final energy of number 3 (Pm3SmTm7)?
  -4.39 eV/atom

Repeat the fourth record exactly.
Pm4Sm4Tm | PBE | relaxed

a b c (Å): 10.868 10.868 5.120
angles (deg): 90.00 90.00 90.00
Space group I4/mmm (No. 139)
Unique sites:
Pm 0.000 0.332 0.000
Sm 0.166 0.166 0.500
Tm 0.000 0.000 0.000

Values from the calculation:
As for the density of states at the Fermi level: 1.51 states/eV per atom. As for the formation energy: 0.0162 eV/atom. The final energy comes out at -4.69 eV/atom.